Record 1
Compound: Tb8PrHo2
Source: Alexandria
Functional: PBE
Structure: relaxed

abc: 5.9768 9.7360 9.7360
angles: 43.05 107.34 107.34
Fractional positions:
Tb  0.3620  0.0977  0.6403
Tb  0.3620  0.6403  0.0977
Tb  0.7562  0.4963  0.4963
Tb  0.6380  0.3597  0.9023
Tb  0.6380  0.9023  0.3597
Tb  0.7908  0.7990  0.7990
Tb  0.2438  0.5037  0.5037
Tb  0.2092  0.2010  0.2010
Ho  0.8164  0.3115  0.3115
Ho  0.1836  0.6885  0.6885
Pr  0.0000  0.0000  0.0000

Properties
- energy above the lowest structure with this stoichiometry (eV/atom) = 0.042
- volume (A^3/atom) = 33.31

Record 2
Compound: Tb6Pr3Ho2
Source: Alexandria
Functional: PBE
Structure: relaxed

abc: 4.7863 4.7863 17.0298
angles: 98.08 98.08 90.00
Fractional positions:
Tb  0.1196  0.6196  0.2393
Tb  0.3079  0.3079  0.6157
Tb  0.6196  0.1196  0.2393
Tb  0.6921  0.6921  0.3843
Tb  0.3804  0.8804  0.7607
Tb  0.8804  0.3804  0.7607
Ho  0.5460  0.5460  0.0920
Ho  0.4540  0.4540  0.9080
Pr  0.7960  0.7960  0.5919
Pr  0.2040  0.2040  0.4081
Pr  0.0000  0.0000  0.0000

Properties
- energy above the lowest structure with this stoichiometry (eV/atom) = 0.252
- volume (A^3/atom) = 34.76

Record 3
Compound: Tb5Pr8Ho
Source: Alexandria
Functional: PBE
Structure: relaxed

abc: 8.6402 8.6402 8.6402
angles: 110.96 106.54 110.96
Fractional positions:
Ho  0.2500  0.5000  0.7500
Pr  0.5259  0.6037  0.2662
Pr  0.7338  0.2597  0.3376
Pr  0.1662  0.7323  0.0728
Pr  0.6624  0.3963  0.9222
Pr  0.5661  0.9067  0.8338
Pr  0.9272  0.0933  0.6594
Pr  0.0778  0.7403  0.4741
Pr  0.3406  0.2677  0.4339
Tb  0.8698  0.9025  0.1811
Tb  0.2786  0.0975  0.9673
Tb  0.0327  0.3113  0.1302
Tb  0.8189  0.6887  0.7214
Tb  0.5000  0.0000  0.5000

Properties
- volume (A^3/atom) = 35.40

Record 4
Compound: Tb3Pr2Ho7
Source: Alexandria
Functional: PBE
Structure: relaxed

abc: 3.6105 5.6890 19.1833
angles: 98.53 90.00 90.00
Fractional positions:
Ho  0.0000  0.7695  0.5390
Ho  0.0000  0.5888  0.1777
Ho  0.0000  0.0000  0.0000
Ho  0.0000  0.2305  0.4610
Ho  0.5000  0.9295  0.8590
Ho  0.0000  0.4112  0.8223
Ho  0.5000  0.0705  0.1410
Tb  0.5000  0.5000  0.0000
Tb  0.5000  0.6863  0.3726
Tb  0.5000  0.3137  0.6274
Pr  0.0000  0.8531  0.7061
Pr  0.0000  0.1469  0.2939

Properties
- energy above the lowest structure with this stoichiometry (eV/atom) = 0.031
- volume (A^3/atom) = 32.47

Record 5
Compound: TbPr4Ho2
Source: Alexandria
Functional: PBE
Structure: relaxed

abc: 12.6624 12.6623 6.8662
angles: 96.99 96.99 150.22
Fractional positions:
Ho  0.3061  0.6236  0.9515
Ho  0.1040  0.9216  0.5482
Ho  0.6236  0.3060  0.4515
Ho  0.9216  0.1040  0.0482
Pr  0.5609  0.5986  0.1361
Pr  0.0381  0.1469  0.6015
Pr  0.5986  0.5609  0.6361
Pr  0.7134  0.1757  0.8654
Pr  0.1469  0.0381  0.1015
Pr  0.1860  0.7949  0.8989
Pr  0.1757  0.7133  0.3654
Pr  0.7949  0.1860  0.3989
Tb  0.6708  0.4207  0.9998
Tb  0.4207  0.6707  0.4998

Properties
- volume (A^3/atom) = 34.39

Record 6
Compound: Tb3Pr6Ho2
Source: Alexandria
Functional: PBE
Structure: relaxed

abc: 4.7807 4.7807 17.4855
angles: 97.86 97.86 90.00
Fractional positions:
Pr  0.2933  0.2933  0.5867
Pr  0.7067  0.7067  0.4133
Pr  0.3808  0.8808  0.7616
Pr  0.8808  0.3808  0.7616
Pr  0.1192  0.6192  0.2384
Pr  0.6192  0.1192  0.2384
Tb  0.1933  0.1933  0.3866
Tb  0.8067  0.8067  0.6134
Tb  0.0000  0.0000  0.0000
Ho  0.5446  0.5446  0.0893
Ho  0.4554  0.4554  0.9107

Properties
- energy above the lowest structure with this stoichiometry (eV/atom) = 0.214
- volume (A^3/atom) = 35.64

Record 7
Compound: TbPr6Ho12
Source: Alexandria
Functional: PBE
Structure: relaxed

abc: 8.8880 8.8880 8.8880
angles: 100.06 100.06 100.06
Fractional positions:
Ho  0.5000  0.1154  0.8846
Ho  0.8846  0.1154  0.5000
Ho  0.1663  0.4509  0.4509
Ho  0.8846  0.5000  0.1154
Ho  0.4509  0.4509  0.1663
Ho  0.4509  0.1663  0.4509
Ho  0.1154  0.8846  0.5000
Ho  0.8337  0.5491  0.5491
Ho  0.1154  0.5000  0.8846
Ho  0.5000  0.8846  0.1154
Ho  0.5491  0.5491  0.8337
Ho  0.5491  0.8337  0.5491
Pr  0.7375  0.2203  0.2203
Pr  0.7797  0.7797  0.2625
Pr  0.2203  0.7375  0.2203
Pr  0.2625  0.7797  0.7797
Pr  0.2203  0.2203  0.7375
Pr  0.7797  0.2625  0.7797
Tb  0.0000  0.0000  0.0000

Properties
- energy above the lowest structure with this stoichiometry (eV/atom) = 0.259
- volume (A^3/atom) = 35.01

Record 8
Compound: TbPr5Ho8
Source: Alexandria
Functional: PBE
Structure: relaxed

abc: 8.4966 8.4966 8.4966
angles: 110.80 106.84 110.80
Fractional positions:
Pr  0.5000  0.0000  0.5000
Pr  0.8657  0.8956  0.1910
Pr  0.2954  0.1044  0.9701
Pr  0.0299  0.3253  0.1343
Pr  0.8090  0.6747  0.7046
Ho  0.1657  0.7368  0.0763
Ho  0.5712  0.9106  0.8343
Ho  0.0796  0.7445  0.4773
Ho  0.5227  0.6023  0.2672
Ho  0.6649  0.3977  0.9204
Ho  0.9237  0.0894  0.6606
Ho  0.7328  0.2555  0.3351
Ho  0.3394  0.2632  0.4288
Tb  0.2500  0.5000  0.7500

Properties
- volume (A^3/atom) = 33.67

Record 9
Compound: Tb6Pr3Ho2
Source: Alexandria
Functional: PBE
Structure: relaxed

abc: 3.5976 3.5976 32.2515
angles: 86.80 86.80 60.00
Fractional positions:
Tb  0.0923  0.0923  0.7230
Tb  0.8183  0.8183  0.5450
Tb  0.6360  0.6360  0.0921
Tb  0.9077  0.9077  0.2770
Tb  0.3640  0.3640  0.9079
Tb  0.1817  0.1817  0.4550
Pr  0.2719  0.2719  0.1842
Pr  0.0000  0.0000  0.0000
Pr  0.7281  0.7281  0.8158
Ho  0.4553  0.4553  0.6341
Ho  0.5447  0.5447  0.3659

Properties
- energy above the lowest structure with this stoichiometry (eV/atom) = 0.000
- volume (A^3/atom) = 32.79

Record 10
Compound: TbPr6Ho3
Source: Alexandria
Functional: PBE
Structure: relaxed

abc: 6.4362 11.1741 11.1741
angles: 121.02 90.00 90.00
Fractional positions:
Pr  0.1559  0.7184  0.2816
Pr  0.8611  0.4807  0.0607
Pr  0.5493  0.2883  0.3708
Pr  0.5493  0.6292  0.7117
Pr  0.3795  0.9657  0.0343
Pr  0.8611  0.9393  0.5193
Pr  0.3611  0.5193  0.9393
Pr  0.0493  0.7117  0.6292
Pr  0.8795  0.0343  0.9657
Pr  0.0493  0.3708  0.2883
Pr  0.3611  0.0607  0.4807
Pr  0.6559  0.2816  0.7184
Ho  0.5857  0.6149  0.3851
Ho  0.9671  0.0544  0.2854
Ho  0.0857  0.3851  0.6149
Ho  0.4671  0.9456  0.7146
Ho  0.9671  0.7146  0.9456
Ho  0.4671  0.2854  0.0544
Tb  0.6093  0.8066  0.1934
Tb  0.1093  0.1934  0.8066

Properties
- volume (A^3/atom) = 34.43

Record 11
Compound: Tb2PrHo7
Source: Alexandria
Functional: PBE
Structure: relaxed

abc: 5.5860 9.1684 9.1684
angles: 123.41 90.00 90.00
Fractional positions:
Ho  0.5000  0.0620  0.2914
Ho  0.5000  0.7087  0.9380
Ho  0.5000  0.9380  0.7086
Ho  0.0000  0.2158  0.7842
Ho  0.5000  0.5000  0.5000
Ho  0.5000  0.2913  0.0620
Ho  0.0000  0.7842  0.2158
Pr  0.0000  0.0000  0.0000
Tb  0.5000  0.2968  0.7032
Tb  0.5000  0.7032  0.2968

Properties
- energy above the lowest structure with this stoichiometry (eV/atom) = 0.655
- volume (A^3/atom) = 39.20

Record 12
Compound: Tb5PrHo3
Source: Alexandria
Functional: PBE
Structure: relaxed

abc: 9.3454 9.3454 12.8583
angles: 51.29 51.29 50.75
Fractional positions:
Ho  0.8313  0.8313  0.3400
Ho  0.0000  0.0000  0.0000
Ho  0.0000  0.0000  0.5000
Ho  0.6968  0.6968  0.6836
Ho  0.1687  0.1687  0.6600
Ho  0.3032  0.3032  0.3164
Tb  0.0787  0.4906  0.7791
Tb  0.3201  0.6799  0.0000
Tb  0.9213  0.5094  0.2209
Tb  0.4429  0.4429  0.4320
Tb  0.5094  0.9213  0.2209
Tb  0.6799  0.3201  0.0000
Tb  0.6297  0.6297  0.0703
Tb  0.3703  0.3703  0.9297
Tb  0.5571  0.5571  0.5680
Tb  0.4906  0.0787  0.7791
Pr  0.1042  0.1042  0.1329
Pr  0.8958  0.8958  0.8671

Properties
- energy above the lowest structure with this stoichiometry (eV/atom) = 0.235
- volume (A^3/atom) = 34.87

Record 13
Compound: TbPr12Ho7
Source: Alexandria
Functional: PBE
Structure: relaxed

abc: 6.2765 11.5753 11.5753
angles: 116.81 100.41 100.41
Fractional positions:
Ho  0.6320  0.7551  0.7562
Ho  0.8758  0.2438  0.9989
Ho  0.1231  0.9989  0.7551
Ho  0.8769  0.0011  0.2449
Ho  0.3680  0.2449  0.2438
Ho  0.5000  0.0000  0.0000
Ho  0.1242  0.7562  0.0011
Pr  0.5808  0.9988  0.6466
Pr  0.0869  0.1763  0.5885
Pr  0.5016  0.5885  0.4122
Pr  0.0658  0.6466  0.6478
Pr  0.9131  0.8237  0.4115
Pr  0.0894  0.5878  0.1763
Pr  0.9106  0.4122  0.8237
Pr  0.5821  0.6478  0.0012
Pr  0.9342  0.3534  0.3522
Pr  0.4984  0.4115  0.5878
Pr  0.4179  0.3522  0.9988
Pr  0.4192  0.0012  0.3534
Tb  0.0000  0.0000  0.0000

Properties
- energy above the lowest structure with this stoichiometry (eV/atom) = 0.082
- volume (A^3/atom) = 35.23

Record 14
Compound: TbPr8Ho3
Source: Alexandria
Functional: PBE
Structure: relaxed

abc: 12.0935 12.8392 9.9179
angles: 147.17 90.00 118.10
Fractional positions:
Pr  0.3186  0.6373  0.9729
Pr  0.8192  0.6383  0.9714
Pr  0.1808  0.3617  0.0286
Pr  0.1835  0.8643  0.0304
Pr  0.8165  0.1357  0.9696
Pr  0.6814  0.3627  0.0271
Pr  0.3192  0.1357  0.9696
Pr  0.6808  0.8643  0.0304
Tb  0.0000  0.0000  0.0000
Ho  0.5000  0.0000  0.0000
Ho  0.0000  0.5000  0.0000
Ho  0.5000  0.5000  0.0000

Properties
- volume (A^3/atom) = 34.47

Record 15
Compound: Tb3Pr5Ho2
Source: Alexandria
Functional: PBE
Structure: relaxed

abc: 6.4827 11.1526 11.1526
angles: 97.90 73.10 73.10
Fractional positions:
Pr  0.7500  0.5000  0.5000
Pr  0.4013  0.2574  0.9401
Pr  0.9983  0.7517  0.7517
Pr  0.0987  0.0599  0.7426
Pr  0.9013  0.9401  0.2574
Pr  0.0017  0.2483  0.2483
Pr  0.5987  0.7426  0.0599
Pr  0.2500  0.5000  0.5000
Pr  0.5017  0.2483  0.2483
Pr  0.4983  0.7517  0.7517
Ho  0.8414  0.4163  0.9010
Ho  0.1586  0.5837  0.0990
Ho  0.6586  0.0990  0.5837
Ho  0.3414  0.9010  0.4163
Tb  0.6008  0.5573  0.2412
Tb  0.7500  0.0000  0.0000
Tb  0.2500  0.0000  0.0000
Tb  0.1008  0.2412  0.5573
Tb  0.3992  0.4427  0.7588
Tb  0.8992  0.7588  0.4427

Properties
- energy above the lowest structure with this stoichiometry (eV/atom) = 0.177
- volume (A^3/atom) = 35.81

Record 16
Compound: Tb10PrHo4
Source: Alexandria
Functional: PBE
Structure: relaxed

abc: 7.6913 9.4281 9.4281
angles: 80.42 65.93 65.93
Fractional positions:
Tb  0.5456  0.1015  0.3029
Tb  0.2500  0.5000  0.5000
Tb  0.0500  0.1015  0.3029
Tb  0.6471  0.3029  0.8985
Tb  0.9500  0.8985  0.6971
Tb  0.4544  0.8985  0.6971
Tb  0.1515  0.3029  0.8985
Tb  0.7500  0.5000  0.5000
Tb  0.8485  0.6971  0.1015
Tb  0.3529  0.6971  0.1015
Ho  0.6000  0.2003  0.5997
Ho  0.1997  0.4003  0.2003
Ho  0.8003  0.5997  0.7997
Ho  0.4000  0.7997  0.4003
Pr  0.0000  0.0000  0.0000

Properties
- volume (A^3/atom) = 37.99

Record 17
Compound: Tb2Pr5Ho4
Source: Alexandria
Functional: PBE
Structure: relaxed

abc: 3.5431 9.2072 12.8133
angles: 111.06 97.95 90.00
Fractional positions:
Pr  0.8537  0.0550  0.7074
Pr  0.1463  0.3477  0.2926
Pr  0.5000  0.0000  0.0000
Pr  0.1463  0.9450  0.2926
Pr  0.8537  0.6523  0.7074
Tb  0.7304  0.7304  0.4609
Tb  0.2696  0.2696  0.5391
Ho  0.5963  0.5963  0.1927
Ho  0.0000  0.6858  0.0000
Ho  0.4037  0.4037  0.8073
Ho  0.0000  0.3142  0.0000

Properties
- energy above the lowest structure with this stoichiometry (eV/atom) = 0.113
- volume (A^3/atom) = 35.07

Record 18
Compound: Tb9Pr2Ho
Source: Alexandria
Functional: PBE
Structure: relaxed

abc: 3.4994 11.3370 11.3370
angles: 120.00 90.00 90.00
Fractional positions:
Ho  0.0000  0.0000  0.0000
Tb  0.0000  0.5000  0.5000
Tb  0.0000  0.0000  0.5000
Tb  0.5000  0.6555  0.8277
Tb  0.5000  0.3445  0.1723
Tb  0.0000  0.5000  0.0000
Tb  0.5000  0.8277  0.6555
Tb  0.5000  0.1723  0.8277
Tb  0.5000  0.8277  0.1723
Tb  0.5000  0.1723  0.3445
Pr  0.0000  0.3333  0.6667
Pr  0.0000  0.6667  0.3333

Properties
- energy above the lowest structure with this stoichiometry (eV/atom) = 0.047
- volume (A^3/atom) = 32.46

Record 19
Compound: Tb4Pr3Ho
Source: Alexandria
Functional: PBE
Structure: relaxed

abc: 3.5022 8.9886 8.9886
angles: 81.81 78.77 78.77
Fractional positions:
Tb  0.3657  0.8887  0.3799
Tb  0.3657  0.3799  0.8887
Tb  0.6343  0.6201  0.1113
Tb  0.6343  0.1113  0.6201
Pr  0.0000  0.5000  0.5000
Pr  0.2422  0.7578  0.7578
Pr  0.7578  0.2422  0.2422
Ho  0.5000  0.0000  0.0000

Properties
- energy above the lowest structure with this stoichiometry (eV/atom) = 0.098
- volume (A^3/atom) = 33.83

| no. | calculated formation energy (meV/atom) |
| --- | --- |
| 1 | 156 |
| 2 | 270 |
| 3 | 248 |
| 4 | 112 |
| 5 | 63 |
| 6 | 293 |
| 7 | 477 |
| 8 | 237 |
| 9 | 17 |
| 10 | 140 |
| 11 | 701 |
| 12 | 417 |
| 13 | 226 |
| 14 | 109 |
| 15 | 349 |
| 16 | 732 |
| 17 | 188 |
| 18 | 68 |
| 19 | 125 |